# 1
Material: BaSrRh2
Method: DFT, PBE-GGA
State: optimized geometry

Geometry as extended XYZ:
```
4
Lattice="-5.0347 3.4009 -0.1380 -2.4996 1.3454 -5.3735 2.0399 -4.9236 2.9207" Properties=species:S:1:pos:R:3 pbc="T T T"
Rh 0.0000 0.0000 0.0000
Ba -3.3810 0.4252 0.0135
Rh -2.1135 -0.6025 -2.6043
Sr -3.7671 2.3731 -2.7558
```

Calculated formation energy   0.192 eV/atom
Fermi-level density of states   3.4 states/eV/f.u.


# 2
Material: KTi2Tc2
Method: DFT, PBE-GGA
State: optimized geometry

Geometry as extended XYZ:
```
5
Lattice="-0.7787 1.4967 -3.9954 -4.2567 0.0032 0.8308 -2.1534 5.8692 0.2645" Properties=species:S:1:pos:R:3 pbc="T T T"
Tc -2.4276 2.0163 -1.1255
K 0.0000 0.0000 0.0000
Tc -4.7612 5.3529 -1.7746
Ti -4.4639 3.3112 -0.2435
Ti -2.7249 4.0579 -2.6566
```

Calculated formation energy   0.611 eV/atom
Fermi-level density of states   4.3 states/eV/f.u.


# 3
Material: Ac2BeCu4Ge3
Method: DFT, PBE-GGA
State: optimized geometry

Geometry as extended XYZ:
```
10
Lattice="4.3078 0.0000 0.0000 0.0000 4.3078 0.0000 0.0000 0.0000 10.1532" Properties=species:S:1:pos:R:3 pbc="T T T"
Cu 0.0000 2.1539 3.8864
Ge 0.0000 2.1539 1.3270
Ge 0.0000 0.0000 5.0766
Ac 0.0000 2.1539 7.6200
Cu 0.0000 0.0000 0.0000
Be 2.1539 2.1539 5.0766
Ac 2.1539 0.0000 2.5332
Ge 2.1539 0.0000 8.8262
Cu 2.1539 0.0000 6.2668
Cu 2.1539 2.1539 0.0000
```

Calculated formation energy   -0.372 eV/atom
Fermi-level density of states   5.6 states/eV/f.u.


# 4
Material: SmTmOsRh
Method: DFT, PBE-GGA
State: optimized geometry

Geometry as extended XYZ:
```
4
Lattice="-4.4815 -1.6600 -0.8326 -2.5541 -2.0017 3.6059 -3.8324 2.3335 1.8439" Properties=species:S:1:pos:R:3 pbc="T T T"
Sm -2.7170 -0.3320 1.1543
Tm -8.1510 -0.9961 3.4629
Os 0.0000 0.0000 0.0000
Rh -5.4340 -0.6640 2.3086
```

Calculated formation energy   -0.421 eV/atom
Fermi-level density of states   3.3 states/eV/f.u.


# 5
Material: Zn2InFe
Method: DFT, PBE-GGA
State: optimized geometry

Geometry as extended XYZ:
```
4
Lattice="4.9591 -0.0104 -0.0248 1.9717 4.5503 0.0248 -3.4499 -2.2936 2.7260" Properties=species:S:1:pos:R:3 pbc="T T T"
In 0.9951 2.2643 1.3754
Zn 2.4850 -0.0185 1.3506
Fe 3.4666 2.2707 0.0000
Zn 6.9304 4.5397 0.0000
```

Calculated formation energy   0.166 eV/atom
Fermi-level density of states   3.7 states/eV/f.u.


# 6
Material: RbHoBeSe3
Method: DFT, PBE-GGA
State: optimized geometry

Geometry as extended XYZ:
```
12
Lattice="-0.3840 -3.9973 0.1479 1.5969 -0.5018 -9.4137 8.3160 -0.6165 4.9280" Properties=species:S:1:pos:R:3 pbc="T T T"
Ho 2.1761 -1.4241 -5.5418
Rb 7.3211 -3.8660 -3.5924
Se 1.8400 -3.3352 -3.4773
Se 7.6890 -1.7804 -0.8605
Be 4.4743 -3.7049 -6.6282
Rb 2.2078 -1.2496 -0.7453
Be 5.0547 -1.4107 2.2904
Se 4.4145 -3.4120 1.1297
Se 5.1145 -1.7036 -5.4674
Se 2.4215 -3.5375 -7.4350
Se 7.1074 -1.5780 3.0973
Ho 7.3529 -3.6915 1.2041
```

E_form (uncorrected)   -1.3993 eV/atom
Fermi-level density of states   0.0 states/eV/f.u.


no.,V (Å³/atom)
1,24.912
2,20.519
3,18.841
4,20.181
5,15.394
6,29.003